[1]
ScBeRh2: relaxed, PBE.

a b c (Å): 3.1509 3.1509 20.2285
angles (deg): 90.00 90.00 120.00
Space group R-3m (No. 166, hexagonal axes)
Symmetry-distinct sites (fractional):
1 Sc 0.0000 0.0000 0.0000
2 Be 0.0000 0.0000 0.5000
3 Rh 0.0000 0.0000 0.2330

## Properties
uncorrected energy = -6.668 eV/atom
DOS(E_F) = 0.520 states/eV/atom
size of the total moment = 0.00 μB/f.u.

[2]
ScBe2Rh: relaxed, PBE.

a b c (Å): 5.1209 6.7943 2.9722
angles (deg): 90.00 90.38 90.00
Space group C2/m (No. 12)
Symmetry-distinct sites (fractional):
1 Sc 0.0000 0.0000 0.0000
2 Be 0.2500 0.2500 0.5000
3 Rh 0.0000 0.5000 0.0000

## Properties
uncorrected energy = -5.498 eV/atom
DOS(E_F) = 0.384 states/eV/atom
size of the total moment = 0.00 μB/f.u.

[3]
ScBe9Rh2: relaxed, PBE.

a b c (Å): 4.3957 4.3957 21.1046
angles (deg): 90.00 90.00 120.00
Space group R-3m (No. 166, hexagonal axes)
Symmetry-distinct sites (fractional):
1 Sc 0.0000 0.0000 0.0000
2 Be 0.0000 0.0000 0.3322
3 Be 0.0000 0.0000 0.5000
4 Be 0.0052 0.5026 0.9130
5 Rh 0.0000 0.0000 0.1391

## Properties
uncorrected energy = -4.945 eV/atom
DOS(E_F) = 0.503 states/eV/atom
size of the total moment = 0.00 μB/f.u.

no.,energy of formation (meV per atom)
1,-477
2,-214
3,-398